# NaVFeF6 PBE+U relaxed
data_NaVFeF6
_chemical_formula_sum 'Na2 V2 Fe2 F12'
_cell_length_a 5.434
_cell_length_b 5.434
_cell_length_c 9.711
_cell_angle_alpha 90.00
_cell_angle_beta 90.00
_cell_angle_gamma 120.00
_space_group_name_H-M_alt 'P 1'
_space_group_IT_number 1
loop_
_space_group_symop_operation_xyz
'x,y,z'
loop_
_atom_site_label
_atom_site_fract_x
_atom_site_fract_y
_atom_site_fract_z
Na1 0.000 0.000 0.000
Na2 0.000 0.000 0.500
V1 0.333 0.667 0.250
V2 0.667 0.333 0.750
Fe1 0.333 0.667 0.750
Fe2 0.667 0.333 0.250
F1 0.022 0.370 0.640
F2 0.022 0.652 0.860
F3 0.348 0.370 0.860
F4 0.348 0.978 0.640
F5 0.370 0.022 0.140
F6 0.370 0.348 0.360
F7 0.630 0.652 0.640
F8 0.630 0.978 0.860
F9 0.652 0.022 0.360
F10 0.652 0.630 0.140
F11 0.978 0.348 0.140
F12 0.978 0.630 0.360
# Energy, eV per atom: -5.469
# Calculated density, g cm⁻³: 3.3